[1]
TaAs2Pb: optimized geometry, PBE.

The structure in POSCAR format:
```
TaAs2Pb
1.0
-2.694 -0.840 -1.167
1.997 -2.075 -1.014
-1.726 -5.563 7.985
Pb As Ta
1 2 1
direct
0.000 0.000 0.518
0.000 0.000 0.961
0.500 0.500 0.246
0.500 0.500 0.775
```

calculated density	10.05	g cm⁻³
space-group type	No. 35
formation energy from the elements	368	meV/atom

=====

[2]
TaAsPb: optimized geometry, PBE.

The structure in POSCAR format:
```
TaAsPb
1.0
3.398 0.000 0.000
-1.699 2.943 0.000
0.000 0.000 6.705
Pb As Ta
1 1 1
direct
0.667 0.333 0.344
0.000 0.000 0.950
0.333 0.667 0.706
```

calculated density	11.47	g cm⁻³
excess energy over the best structure of this formula in the dataset	71	meV/atom
space-group type	No. 156
formation energy from the elements	107	meV/atom

=====

[3]
TaAsPb: optimized geometry, PBE.

The structure in POSCAR format:
```
TaAsPb
1.0
-5.350 -4.966 2.313
-1.955 -5.492 4.965
2.839 6.730 -2.299
Pb As Ta
1 1 1
direct
0.316 0.316 0.000
0.032 0.032 0.000
0.652 0.652 0.000
```

calculated density	11.12	g cm⁻³
excess energy over the best structure of this formula in the dataset	191	meV/atom
space-group type	No. 107
formation energy from the elements	227	meV/atom

=====

[4]
TaAsPb: optimized geometry, PBE.

The structure in POSCAR format:
```
TaAsPb
1.0
4.493 0.000 0.000
-2.247 3.891 0.000
0.000 0.000 3.775
Pb As Ta
1 1 1
direct
0.667 0.333 0.333
0.000 0.000 0.833
0.333 0.667 0.833
```

calculated density	11.65	g cm⁻³
excess energy over the best structure of this formula in the dataset	202	meV/atom
space-group type	No. 187
formation energy from the elements	238	meV/atom

=====

[5]
Ta3AsPb: optimized geometry, PBE.

The structure in POSCAR format:
```
Ta3AsPb
1.0
-0.166 3.906 2.783
-4.362 1.035 -1.714
-1.995 -2.589 3.514
Pb As Ta
1 1 3
direct
0.500 0.500 0.500
0.000 0.000 0.000
0.000 0.500 0.000
0.000 0.000 0.500
0.500 0.000 0.000
```

calculated density	12.39	g cm⁻³
excess energy over the best structure of this formula in the dataset	0	meV/atom
space-group type	No. 221
formation energy from the elements	930	meV/atom

=====

[6]
TaAs2Pb: optimized geometry, PBE.

The structure in POSCAR format:
```
TaAs2Pb
1.0
4.801 0.000 0.000
0.000 3.793 0.003
0.000 1.897 4.763
Pb As Ta
1 2 1
direct
0.000 0.537 0.555
0.000 0.817 0.991
0.500 0.219 0.186
0.500 0.928 0.768
```

calculated density	10.30	g cm⁻³
space-group type	No. 6
formation energy from the elements	127	meV/atom

=====

[7]
TaAsPb: optimized geometry, PBE.

The structure in POSCAR format:
```
TaAsPb
1.0
-5.650 -1.326 -1.153
-3.242 -4.765 1.339
3.772 4.093 2.006
Pb As Ta
1 1 1
direct
0.329 0.329 0.000
0.037 0.037 0.000
0.634 0.634 0.000
```

calculated density	11.97	g cm⁻³
excess energy over the best structure of this formula in the dataset	0	meV/atom
space-group type	No. 107
formation energy from the elements	36	meV/atom

=====

[8]
TaAs2Pb: optimized geometry, PBE.

The structure in POSCAR format:
```
TaAs2Pb
1.0
4.768 0.008 0.000
-0.961 4.670 0.000
-1.904 -2.339 3.694
Pb As Ta
1 2 1
direct
0.250 0.750 0.500
0.000 0.000 0.000
0.500 0.500 0.000
0.750 0.250 0.500
```

calculated density	10.86	g cm⁻³
space-group type	No. 139
formation energy from the elements	402	meV/atom

=====

Repeat the third record exactly.
TaAsPb: optimized geometry, PBE.

The structure in POSCAR format:
```
TaAsPb
1.0
-5.350 -4.966 2.313
-1.955 -5.492 4.965
2.839 6.730 -2.299
Pb As Ta
1 1 1
direct
0.316 0.316 0.000
0.032 0.032 0.000
0.652 0.652 0.000
```

calculated density	11.12	g cm⁻³
excess energy over the best structure of this formula in the dataset	191	meV/atom
space-group type	No. 107
formation energy from the elements	227	meV/atom

=====

Copy entry 8 word for word.
TaAs2Pb: optimized geometry, PBE.

The structure in POSCAR format:
```
TaAs2Pb
1.0
4.768 0.008 0.000
-0.961 4.670 0.000
-1.904 -2.339 3.694
Pb As Ta
1 2 1
direct
0.250 0.750 0.500
0.000 0.000 0.000
0.500 0.500 0.000
0.750 0.250 0.500
```

calculated density	10.86	g cm⁻³
space-group type	No. 139
formation energy from the elements	402	meV/atom

=====

> Which formula does entry 6 have?

TaAs2Pb